{
  "formula": "MgCd2Au",
  "functional": "PBE",
  "state": "relaxed",
  "lattice_angstrom": [[4.530, 0.000, 0.000], [0.000, 3.146, 0.019], [0.000, 1.591, 5.797]],
  "species": ["Mg", "Au", "Cd", "Cd"],
  "frac_coords": [[0.000, 0.537, 0.553], [0.500, 0.957, 0.711], [0.000, 0.804, 0.016], [0.500, 0.203, 0.220]],
  "formation_energy_ev_per_atom": -0.220
}